DFT (PBE) results for a relaxed structure of PrSm6Cd2.

The value obtained for the electronic total energy is -4.011 eV/atom. The energy relative to the elements is -0.131 eV per atom.

It has space group C2/m (No. 12), with a = 12.877 Å, b = 3.824 Å, c = 12.176 Å, α = 90.00°, β = 108.40° and γ = 90.00°. The distinct sites, in fractional coordinates, are Pr at (0.000, 0.000, 0.000), Sm at (0.017, 0.000, 0.340), Sm at (0.185, 0.500, 0.876), Sm at (0.188, 0.500, 0.585) and Cd at (0.149, 0.500, 0.212).